## Th2Zn3Au (PBE-GGA)

Data for a relaxed Th2Zn3Au crystal.

The value obtained for the total energy is -3.995 eV/atom. The value obtained for the polymorph energy (0 for the lowest one) is 72 meV per atom. As for the magnetization: 0.000 μB/atom. As for the calculated formation energy: -2.03 eV per formula unit. The density is 10551 kg/m³.

The structure belongs to space group Imm2 (No. 44); the cell edges are 3.707, 4.606 and 15.805 Å and the angles 90.00°, 90.00° and 90.00°. Symmetry generates all atoms from Th at (0.000, 0.000, 0.000), Th at (0.000, 0.500, 0.259), Zn at (0.000, 0.000, 0.426), Zn at (0.000, 0.500, 0.671), Zn at (0.000, 0.500, 0.829) and Au at (0.000, 0.000, 0.591).